[1]
An optimized crystal structure of RbGe2P2. Source: Alexandria, functional PBE.

The formation energy comes out at -91.0 meV/atom. The value obtained for the energy above the most stable polymorph in this dataset is 0.00 kcal/mol of atoms.

It has space group I4/mmm (No. 139), with a = 4.629 Å, b = 4.629 Å, c = 12.518 Å, α = 90.00°, β = 90.00° and γ = 90.00°. The inequivalent atoms are Rb at (0.000, 0.000, 0.000), Ge at (0.000, 0.500, 0.250) and P at (0.000, 0.000, 0.329).


[2]
An optimized crystal structure of Be8Nb3Cr. Source: Alexandria, functional PBE.

The formation energy comes out at -197.0 meV/atom. The value obtained for the energy above the most stable polymorph in this dataset is 0.00 kcal/mol of atoms.

It has space group P3m1 (No. 156), with a = 4.5396 Å, b = 4.5396 Å, c = 7.3615 Å, α = 90.00°, β = 90.00° and γ = 120.00°. The inequivalent atoms are Be at (0.0000, 0.0000, 0.0000), Be at (0.0000, 0.0000, 0.4984), Be at (0.1696, 0.3392, 0.2427), Be at (0.3437, 0.1718, 0.7544), Nb at (0.3333, 0.6667, 0.5660), Nb at (0.3333, 0.6667, 0.9395), Nb at (0.6667, 0.3333, 0.4237) and Cr at (0.6667, 0.3333, 0.0648).


[3]
An optimized crystal structure of ZrIn2Sb. Source: Alexandria, functional PBE.

As for the uncorrected formation energy: -3.73 kcal/mol of atoms.

It has space group Cmm2 (No. 35), with a = 4.219 Å, b = 4.900 Å, c = 9.873 Å, α = 90.00°, β = 90.00° and γ = 90.00°. The inequivalent atoms are Zr at (0.000, 0.000, 0.000), In at (0.000, 0.000, 0.480), In at (0.000, 0.500, 0.225) and Sb at (0.000, 0.500, 0.781).


[4]
An optimized crystal structure of RbTl6Bi. Source: Alexandria, functional PBE.

The formation energy comes out at -32.4 meV/atom. The value obtained for the energy above the most stable polymorph in this dataset is 0.00 kcal/mol of atoms.

It has space group Amm2 (No. 38), with a = 5.545 Å, b = 6.998 Å, c = 14.156 Å, α = 90.00°, β = 90.00° and γ = 90.00°. The inequivalent atoms are Rb at (0.000, 0.000, 0.000), Tl at (0.000, 0.245, 0.733), Tl at (0.500, 0.000, 0.168), Tl at (0.500, 0.000, 0.610), Tl at (0.500, 0.247, 0.875) and Bi at (0.000, 0.000, 0.441).


[5]
An optimized crystal structure of Nd3Te2C. Source: Alexandria, functional PBE.

As for the uncorrected formation energy: -22.71 kcal/mol of atoms. The value obtained for the energy above the most stable polymorph in this dataset is 0.00 kcal/mol of atoms.

It has space group Fddd (No. 70, origin choice 2), with a = 8.727 Å, b = 12.125 Å, c = 24.938 Å, α = 90.00°, β = 90.00° and γ = 90.00°. The inequivalent atoms are Nd at (0.071, 0.375, 0.375), Nd at (0.099, 0.355, 0.218), Te at (0.125, 0.125, 0.381), Te at (0.125, 0.125, 0.548) and C at (0.125, 0.125, 0.040).


[6]
An optimized crystal structure of Ce2LuOs. Source: Alexandria, functional PBE.

The formation energy comes out at 20.3 meV/atom. The value obtained for the energy above the most stable polymorph in this dataset is 0.00 kcal/mol of atoms.

It has space group P4/mmm (No. 123), with a = 3.752 Å, b = 3.752 Å, c = 7.020 Å, α = 90.00°, β = 90.00° and γ = 90.00°. The inequivalent atoms are Ce at (0.000, 0.000, 0.197), Lu at (0.500, 0.500, 0.500) and Os at (0.500, 0.500, 0.000).


[7]
An optimized crystal structure of PaMnTcW. Source: Alexandria, functional PBE.

The formation energy comes out at 143.2 meV/atom.

It has space group F-43m (No. 216), with a = 6.467 Å, b = 6.467 Å, c = 6.467 Å, α = 90.00°, β = 90.00° and γ = 90.00°. The inequivalent atoms are Pa at (0.000, 0.000, 0.000), Mn at (0.250, 0.250, 0.750), Tc at (0.250, 0.250, 0.250) and W at (0.000, 0.000, 0.500).


[8]
An optimized crystal structure of Co2TcH2. Source: Alexandria, functional PBE.

The value obtained for the energy above the most stable polymorph in this dataset is 0.00 kcal/mol of atoms.

It has space group I4/mmm (No. 139), with a = 3.154 Å, b = 3.154 Å, c = 7.995 Å, α = 90.00°, β = 90.00° and γ = 90.00°. The inequivalent atoms are Co at (0.000, 0.000, 0.167), Tc at (0.000, 0.000, 0.500) and H at (0.000, 0.500, 0.250).


| no. | uncorrected energy (Ha/atom) | Fermi-level density of states (states/eV/atom) | calculated volume (Å³ per cell) |
| --- | --- | --- | --- |
| 1 | -0.158 | 0.248 | 268.2 |
| 2 | -0.221 | 0.650 | 131.4 |
| 3 | -0.173 | 0.425 | 204.1 |
| 4 | -0.089 | 0.426 | 549.4 |
| 5 | -0.219 | 0.330 | 2638.9 |
| 6 | -0.253 | 1.935 | 98.8 |
| 7 | -0.380 | 0.976 | 270.5 |
| 8 | -0.223 | 0.946 | 79.6 |